{"formula": "ScTa3B", "functional": "GGA-PBEsol", "state": "relaxed", "dft_energy_ev_per_atom": -7.53, "m_tot_mub_per_fu": 0.0, "crystal_system": "cubic", "vol_a3_per_atom": 19.376, "ef_ev_per_atom": 2.73, "lattice": [[-0.849, 4.483, 0.522], [-0.886, 0.355, -4.492], [-4.426, -0.932, 0.799]], "species": ["Sc", "B", "Ta", "Ta", "Ta"], "fractional_positions": [[0.000, 0.000, 0.000], [0.500, 0.500, 0.500], [0.000, 0.500, 0.000], [0.000, 0.000, 0.500], [0.500, 0.000, 0.000]]}